A plane-wave DFT calculation with PBE was carried out for crystalline Pm2BiS at its relaxed geometry.

CIF file:
```
data_Pm2BiS
_cell_length_a 4.2776
_cell_length_b 4.2776
_cell_length_c 21.4026
_cell_angle_alpha 90.00
_cell_angle_beta 90.00
_cell_angle_gamma 120.00
_space_group_name_H-M_alt 'R -3 m'
_space_group_IT_number 166
_space_group_name_Hall '-R 3 2"'
loop_
_atom_site_label
_atom_site_type_symbol
_atom_site_fract_x
_atom_site_fract_y
_atom_site_fract_z
_atom_site_occupancy
Pm1 Pm 0.0000 0.0000 0.2392 1
Bi1 Bi 0.0000 0.0000 0.0000 1
S1 S 0.0000 0.0000 0.5000 1
```

Properties
Uncorrected formation energy ... -1421.0 meV/atom
Offset from the most stable computed form ... 0.005 eV/atom
Total magnetization ... 0.00 μB/f.u.